a | The following is a DFT calculation (PBE) of a geometry-optimized NbInCuTe structure.

crystal system = triclinic
magnetization = 0.00 μB per cell

abc: 3.720 4.380 5.397
angles: 89.64 70.10 90.00
Sites, in units of the cell vectors:
Nb 0.000 0.000 0.000
In 0.565 0.501 0.868
Cu 0.847 0.497 0.301
Te 0.292 0.999 0.421



b | The following is a DFT calculation (PBE) of a geometry-optimized NbInCuTe structure.

crystal system = orthorhombic
magnetization = 0.00 μB per cell

abc: 3.044 5.117 5.240
angles: 90.00 90.00 90.00
Sites, in units of the cell vectors:
Nb 0.000 0.000 0.000
In 0.500 0.000 0.520
Cu 0.500 0.500 0.806
Te 0.000 0.500 0.232



Least stable of them? b.



a | The following is a DFT calculation (PBE) of a geometry-optimized NbInCuTe structure.

crystal system = tetragonal
magnetization = 0.00 μB per cell

abc: 3.582 3.582 6.256
angles: 90.00 90.00 90.00
Sites, in units of the cell vectors:
Nb 0.000 0.000 0.000
In 0.000 0.000 0.545
Cu 0.500 0.500 0.758
Te 0.500 0.500 0.209



b | The following is a DFT calculation (PBE) of a geometry-optimized NbInCuTe structure.

crystal system = monoclinic
magnetization = 0.00 μB per cell

abc: 3.690 3.690 7.692
angles: 105.73 105.73 71.62
Sites, in units of the cell vectors:
Nb 0.000 0.000 0.000
In 0.620 0.620 0.640
Cu 0.319 0.319 0.823
Te 0.466 0.466 0.235



Least stable of them? b.



a | The following is a DFT calculation (PBE) of a geometry-optimized NbInCuTe structure.

crystal system = monoclinic
magnetization = 0.00 μB per cell

abc: 5.244 5.244 5.237
angles: 105.71 105.71 36.96
Sites, in units of the cell vectors:
Nb 0.000 0.000 0.000
In 0.425 0.425 0.442
Cu 0.693 0.693 0.397
Te 0.702 0.702 0.902



b | The following is a DFT calculation (PBE) of a geometry-optimized NbInCuTe structure.

crystal system = triclinic
magnetization = 0.00 μB per cell

abc: 3.553 5.188 5.648
angles: 116.28 90.21 109.91
Sites, in units of the cell vectors:
Nb 0.000 0.000 0.000
In 0.271 0.546 0.553
Cu 0.974 0.957 0.486
Te 0.714 0.430 0.004



c | The following is a DFT calculation (PBE) of a geometry-optimized NbInCuTe structure.

crystal system = tetragonal
magnetization = 0.00 μB per cell

abc: 7.534 7.534 7.534
angles: 153.66 153.66 37.60
Sites, in units of the cell vectors:
Nb 0.000 0.000 0.000
In 0.632 0.632 0.000
Cu 0.211 0.211 0.000
Te 0.392 0.392 0.000



d | The following is a DFT calculation (PBE) of a geometry-optimized NbInCuTe structure.

crystal system = monoclinic
magnetization = 0.00 μB per cell

abc: 3.400 3.400 7.912
angles: 102.30 102.30 90.00
Sites, in units of the cell vectors:
Nb 0.000 0.000 0.000
In 0.801 0.801 0.600
Cu 0.394 0.394 0.786
Te 0.597 0.597 0.195



Least stable of them? a.



a | The following is a DFT calculation (PBE) of a geometry-optimized Nd2In3Cu structure.

crystal system = orthorhombic
magnetization = 0.00 μB per cell

abc: 9.674 9.204 6.148
angles: 75.19 66.90 37.91
Sites, in units of the cell vectors:
Nd 0.247 0.753 0.753
Nd 0.250 0.250 0.250
Nd 0.750 0.750 0.750
Nd 0.753 0.247 0.247
In 0.153 0.673 0.327
In 0.327 0.327 0.673
In 0.327 0.847 0.153
In 0.673 0.153 0.847
In 0.673 0.673 0.327
In 0.847 0.327 0.673
Cu 0.168 0.168 0.832
Cu 0.832 0.832 0.168



b | The following is a DFT calculation (PBE) of a geometry-optimized Nd2In3Cu structure.

crystal system = trigonal
magnetization = 0.00 μB per cell

abc: 4.813 4.813 7.728
angles: 90.00 90.00 120.00
Sites, in units of the cell vectors:
Nd 0.000 0.000 0.000
Nd 0.000 0.000 0.462
In 0.333 0.667 0.220
In 0.333 0.667 0.785
In 0.667 0.333 0.675
Cu 0.667 0.333 0.279



Least stable of them? a.